No. 1
# PuOsAu, relaxed, DFT PBE
data_PuOsAu
_symmetry_space_group_name_H-M 'P 1'
_symmetry_Int_Tables_number 1
_cell_length_a 4.502
_cell_length_b 4.502
_cell_length_c 4.502
_cell_angle_alpha 60.00
_cell_angle_beta 60.00
_cell_angle_gamma 60.00
loop_
_symmetry_equiv_pos_as_xyz
'x,y,z'
loop_
_atom_site_label
_atom_site_type_symbol
_atom_site_fract_x
_atom_site_fract_y
_atom_site_fract_z
Pu1 Pu 0.750 0.750 0.750
Os1 Os 0.000 0.000 0.000
Au1 Au 0.250 0.250 0.250
# Formation energy from the elements: 312 meV per atom
# Calculated total energy: -9.228 eV per atom
# Energy relative to the lowest polymorph listed for this composition: 0.000 kcal/mol of atoms
# Spin magnetization: 1.2964 μB/atom

=====

No. 2
# PuOsAu, relaxed, DFT PBE
data_PuOsAu
_symmetry_space_group_name_H-M 'P 1'
_symmetry_Int_Tables_number 1
_cell_length_a 4.513
_cell_length_b 4.513
_cell_length_c 4.513
_cell_angle_alpha 60.00
_cell_angle_beta 60.00
_cell_angle_gamma 60.00
loop_
_symmetry_equiv_pos_as_xyz
'x,y,z'
loop_
_atom_site_label
_atom_site_type_symbol
_atom_site_fract_x
_atom_site_fract_y
_atom_site_fract_z
Os1 Os 0.000 0.000 0.000
Pu1 Pu 0.250 0.250 0.250
Au1 Au 0.500 0.500 0.500
# Formation energy from the elements: 1067 meV per atom
# Calculated total energy: -8.473 eV per atom
# Energy relative to the lowest polymorph listed for this composition: 17.413 kcal/mol of atoms
# Spin magnetization: 0.0012 μB/atom

=====

> Which of these has the highest formation energy from the elements?

number 2

=====

> Which of these has the highest spin magnetization?

number 1

=====

> Number 2 is which compound?

PuOsAu